Material: NpNi9Pd2
Method: DFT, PBE
State: relaxed

a b c (Å): 4.8134 4.8134 23.2369
angles (deg): 90.00 90.00 120.00
Closest atoms and distances in Å follow each position.
Space group R-3m (No. 166, hexagonal axes)
One atom of each set of equivalent atoms:
Np 0.0000 0.0000 0.0000  6 Ni 2.78
Ni 0.0000 0.0000 0.3343  6 Ni 2.41-2.43
Ni 0.0000 0.0000 0.5000  6 Ni 2.36
Ni 0.0035 0.5018 0.9149  7 Ni 2.36-2.43
Pd 0.0000 0.0000 0.1461  12 Ni 2.74-2.82, 3 Pd 2.94

* energy relative to the elements: -0.0482 eV/atom
* VASP energy: -6.3281 eV/atom